The following is a PBE calculation of a relaxed Rb4Sc crystal, from Alexandria.

Summary:
The space group is No. 221. Its formation energy is 0.65 eV per atom. For the density of states at the Fermi level, the calculation gives 14.3 states/eV/cell. The value obtained for the magnetic moment is 2.5 μB per cell.

```
Rb4Sc
1.0
-4.097 4.016 -4.928
4.580 -2.202 -5.602
-4.409 -6.019 -1.239
Sc Rb
1 4
Direct
0.500 0.500 0.500 Sc
0.000 0.000 0.000 Rb
0.500 0.000 0.500 Rb
0.000 0.500 0.500 Rb
0.500 0.500 0.000 Rb
```

The following is a PBE calculation of a relaxed CaScMn crystal, from Alexandria.

Summary:
The space group is No. 156. Its formation energy is 0.49 eV per atom. For the density of states at the Fermi level, the calculation gives 5.5 states/eV/cell. Its offset from the most stable computed form is 238 meV/atom. The value obtained for the magnetic moment is 2.4 μB per cell.

```
CaScMn
1.0
5.052 0.000 0.000
-2.526 4.375 0.000
0.000 0.000 3.334
Sc Ca Mn
1 1 1
Direct
0.333 0.667 0.625 Sc
0.000 0.000 0.044 Ca
0.667 0.333 0.330 Mn
```